Below is a geometry-optimized ZnTcGe2 structure, with properties calculated at the GGA-PBE level.

Values from the calculation:
* electronic total energy: -0.33862 Ry/atom
* energy of formation: 0.611 eV/atom
* M_tot: 0.0 μB/f.u.
* space-group type: I-42d

Cell and atoms, written as POSCAR:
```
ZnTcGe2
1.0
5.7690 0.0000 0.0000
0.0000 5.7690 0.0000
2.8845 2.8845 5.5877
Zn Ge Tc
2 4 2
Direct
0.2500 0.7500 0.5000
0.5000 0.5000 0.0000
0.6500 0.1250 0.2500
0.3750 0.3500 0.7500
0.8750 0.9000 0.7500
0.1000 0.6250 0.2500
0.7500 0.2500 0.5000
0.0000 0.0000 0.0000
```